Entry 1:
DFT (PBE) results for Ac4PdN2 after structural relaxation.

Output
Magnetization, μB per formula unit: 0.000
Raw formation energy, eV/atom: -0.78
Total DFT energy (no corrections), eV for the cell shown: -87.4

```
Ac4PdN2
1.0
4.007 0.000 0.000
-2.003 6.535 0.000
0.000 0.000 13.874
Ac N Pd
8 4 2
Direct
0.068 0.136 0.250 Ac
0.500 0.000 0.500 Ac
0.773 0.546 0.393 Ac
0.227 0.454 0.893 Ac
0.227 0.454 0.607 Ac
0.773 0.546 0.107 Ac
0.932 0.864 0.750 Ac
0.500 0.000 0.000 Ac
0.135 0.270 0.441 N
0.865 0.730 0.559 N
0.135 0.270 0.059 N
0.865 0.730 0.941 N
0.607 0.215 0.750 Pd
0.393 0.785 0.250 Pd
```



Entry 2:
DFT (PBE) results for Ac12Pd6N after structural relaxation.

Output
Magnetization, μB per formula unit: 0.000
Raw formation energy, eV/atom: -0.55
Total DFT energy (no corrections), eV for the cell shown: -99.3

```
Ac12Pd6N
1.0
-2.762 3.203 -7.680
-7.479 -3.917 2.366
-0.997 7.321 4.721
N Pd Ac
1 6 12
Direct
0.000 0.000 0.000 N
0.376 0.691 0.881 Pd
0.119 0.624 0.309 Pd
0.691 0.881 0.376 Pd
0.309 0.119 0.624 Pd
0.624 0.309 0.119 Pd
0.881 0.376 0.691 Pd
0.963 0.303 0.089 Ac
0.911 0.037 0.697 Ac
0.187 0.407 0.572 Ac
0.037 0.697 0.911 Ac
0.572 0.187 0.407 Ac
0.428 0.813 0.593 Ac
0.407 0.572 0.187 Ac
0.089 0.963 0.303 Ac
0.813 0.593 0.428 Ac
0.697 0.911 0.037 Ac
0.593 0.428 0.813 Ac
0.303 0.089 0.963 Ac
```